VASP calculation (PBE-GGA) on a geometry-optimized CaCd8Ag2 structure.

a b c (Å): 5.410 8.074 7.538
angles (deg): 57.62 80.14 71.36
Fractional coordinates of all 11 atoms:
Cd1 0.295 0.413 0.000
Cd2 0.132 0.915 0.766
Cd3 0.132 0.681 0.234
Cd4 0.868 0.319 0.766
Cd5 0.868 0.085 0.234
Cd6 0.500 0.252 0.495
Cd7 0.705 0.587 0.000
Cd8 0.500 0.748 0.505
Ca1 0.500 0.000 0.000
Ag1 0.000 0.694 0.612
Ag2 0.000 0.306 0.388

Results
The density of states at the Fermi level comes out at 3.9 states/eV per cell. Its crystal system is monoclinic. Its density is 7.28 g cm⁻³.

VASP calculation (PBE-GGA) on a geometry-optimized Ca2Cd2Ag structure.

a b c (Å): 3.718 4.730 7.923
angles (deg): 107.37 90.00 90.00
Fractional coordinates of all 5 atoms:
Ca1 0.000 0.930 0.860
Ca2 0.000 0.686 0.373
Cd1 0.500 0.307 0.614
Cd2 0.500 0.505 0.011
Ag1 0.500 0.113 0.226

Results
The density of states at the Fermi level comes out at 3.1 states/eV per cell. Its crystal system is orthorhombic. Its density is 5.15 g cm⁻³.

VASP calculation (PBE-GGA) on a geometry-optimized Ca4Cd3Ag2 structure.

a b c (Å): 5.203 5.203 10.125
angles (deg): 90.00 90.00 60.00
Fractional coordinates of all 9 atoms:
Cd1 0.667 0.667 0.492
Cd2 0.333 0.333 0.508
Cd3 0.000 0.000 0.000
Ca1 0.667 0.667 0.883
Ca2 0.000 0.000 0.670
Ca3 0.333 0.333 0.117
Ca4 0.000 0.000 0.330
Ag1 0.667 0.667 0.195
Ag2 0.333 0.333 0.805

Results
The density of states at the Fermi level comes out at 5.0 states/eV per cell. Its crystal system is trigonal. Its density is 4.99 g cm⁻³.

VASP calculation (PBE-GGA) on a geometry-optimized Ca5CdAg structure.

a b c (Å): 7.017 7.017 11.972
angles (deg): 74.07 74.07 62.82
Fractional coordinates of all 14 atoms:
Ca1 0.942 0.599 0.145
Ca2 0.973 0.027 0.250
Ca3 0.027 0.973 0.750
Ca4 0.473 0.773 0.968
Ca5 0.058 0.401 0.855
Ca6 0.527 0.227 0.032
Ca7 0.401 0.058 0.355
Ca8 0.773 0.473 0.468
Ca9 0.599 0.942 0.645
Ca10 0.227 0.527 0.532
Ag1 0.000 0.000 0.000
Ag2 0.000 0.000 0.500
Cd1 0.475 0.525 0.250
Cd2 0.525 0.475 0.750

Results
The density of states at the Fermi level comes out at 13.4 states/eV per cell. Its crystal system is monoclinic. Its density is 2.81 g cm⁻³.

VASP calculation (PBE-GGA) on a geometry-optimized Ca2CdAg6 structure.

a b c (Å): 5.886 5.877 7.520
angles (deg): 112.52 90.69 119.79
Fractional coordinates of all 9 atoms:
Cd1 0.500 0.000 0.500
Ag1 0.712 0.949 0.163
Ag2 0.783 0.031 0.816
Ag3 0.288 0.051 0.837
Ag4 0.217 0.969 0.184
Ag5 0.785 0.549 0.838
Ag6 0.215 0.451 0.162
Ca1 0.215 0.421 0.637
Ca2 0.785 0.579 0.363

Results
The density of states at the Fermi level comes out at 4.2 states/eV per cell. Its crystal system is triclinic. Its density is 6.91 g cm⁻³.

VASP calculation (PBE-GGA) on a geometry-optimized CaCd3Ag4 structure.

a b c (Å): 4.805 7.191 9.613
angles (deg): 90.00 90.00 90.00
Fractional coordinates of all 16 atoms:
Cd1 0.493 0.500 0.250
Cd2 0.486 0.000 0.250
Cd3 0.514 0.000 0.750
Cd4 0.000 0.000 0.000
Cd5 0.507 0.500 0.750
Cd6 0.000 0.000 0.500
Ag1 0.015 0.767 0.750
Ag2 0.985 0.233 0.250
Ag3 0.500 0.767 0.500
Ag4 0.500 0.233 0.500
Ag5 0.500 0.767 0.000
Ag6 0.985 0.767 0.250
Ag7 0.015 0.233 0.750
Ag8 0.500 0.233 0.000
Ca1 0.000 0.500 0.000
Ca2 0.000 0.500 0.500

Results
The density of states at the Fermi level comes out at 8.8 states/eV per cell. Its crystal system is orthorhombic. Its density is 8.09 g cm⁻³.

VASP calculation (PBE-GGA) on a geometry-optimized CaCd4Ag6 structure.

a b c (Å): 7.285 7.285 7.285
angles (deg): 85.22 122.79 122.79
Fractional coordinates of all 11 atoms:
Ag1 0.327 0.581 0.581
Ag2 0.673 0.253 0.253
Ag3 0.000 0.747 0.419
Ag4 0.500 0.500 0.000
Ag5 0.000 0.419 0.747
Ag6 0.500 0.000 0.500
Cd1 0.423 0.902 0.902
Cd2 0.577 0.479 0.479
Cd3 0.000 0.098 0.521
Cd4 0.000 0.521 0.098
Ca1 0.000 0.000 0.000

Results
The density of states at the Fermi level comes out at 3.7 states/eV per cell. Its crystal system is tetragonal. Its density is 7.24 g cm⁻³.

VASP calculation (PBE-GGA) on a geometry-optimized Ca3Cd2Ag structure.

a b c (Å): 3.735 5.422 8.555
angles (deg): 108.47 90.00 90.00
Fractional coordinates of all 6 atoms:
Cd1 0.000 0.672 0.344
Cd2 0.000 0.328 0.656
Ca1 0.500 0.161 0.322
Ca2 0.500 0.500 0.000
Ca3 0.500 0.839 0.678
Ag1 0.000 0.000 0.000

Results
The density of states at the Fermi level comes out at 4.6 states/eV per cell. Its crystal system is orthorhombic. Its density is 4.58 g cm⁻³.

VASP calculation (PBE-GGA) on a geometry-optimized CaCd6Ag2 structure.

a b c (Å): 6.147 6.147 7.481
angles (deg): 90.00 90.00 120.00
Fractional coordinates of all 9 atoms:
Cd1 0.500 0.500 0.199
Cd2 0.500 0.000 0.801
Cd3 0.500 0.000 0.199
Cd4 0.000 0.500 0.801
Cd5 0.500 0.500 0.801
Cd6 0.000 0.500 0.199
Ag1 0.667 0.333 0.500
Ag2 0.333 0.667 0.500
Ca1 0.000 0.000 0.000

Results
The density of states at the Fermi level comes out at 4.8 states/eV per cell. Its crystal system is hexagonal. Its density is 6.31 g cm⁻³.

VASP calculation (PBE-GGA) on a geometry-optimized CaCd3Ag3 structure.

a b c (Å): 4.902 8.376 8.379
angles (deg): 120.00 90.00 90.00
Fractional coordinates of all 14 atoms:
Cd1 0.750 0.773 0.996
Cd2 0.250 0.777 0.773
Cd3 0.250 0.227 0.004
Cd4 0.750 0.223 0.227
Cd5 0.750 0.004 0.777
Cd6 0.250 0.996 0.223
Ag1 0.250 0.082 0.613
Ag2 0.750 0.918 0.387
Ag3 0.250 0.387 0.469
Ag4 0.750 0.468 0.082
Ag5 0.250 0.532 0.918
Ag6 0.750 0.613 0.531
Ca1 0.750 0.333 0.667
Ca2 0.250 0.667 0.333

Results
The density of states at the Fermi level comes out at 5.3 states/eV per cell. Its crystal system is hexagonal. Its density is 7.81 g cm⁻³.

VASP calculation (PBE-GGA) on a geometry-optimized Ca2CdAg structure.

a b c (Å): 5.211 5.211 5.211
angles (deg): 60.00 60.00 60.00
Fractional coordinates of all 4 atoms:
Ca1 0.250 0.250 0.250
Ca2 0.000 0.000 0.000
Ag1 0.500 0.500 0.500
Cd1 0.750 0.750 0.750

Results
The density of states at the Fermi level comes out at 4.2 states/eV per cell. Its crystal system is cubic. Its density is 4.99 g cm⁻³.

VASP calculation (PBE-GGA) on a geometry-optimized Ca2CdAg structure.

a b c (Å): 3.749 3.747 8.040
angles (deg): 90.00 90.00 90.00
Fractional coordinates of all 4 atoms:
Ag1 0.500 0.500 0.718
Cd1 0.000 0.000 0.538
Ca1 0.000 0.000 0.940
Ca2 0.500 0.500 0.303

Results
The density of states at the Fermi level comes out at 2.7 states/eV per cell. Its crystal system is tetragonal. Its density is 4.42 g cm⁻³.

Formation enthalpy at 0 K for every record listed, in sequence, given in eV/f.u.: -0.31; -1.57; -2.84; -0.57; -1.60; -0.96; 0.06; -2.02; 0.27; -1.11; -0.62; -0.84.